[1]
Entry from Alexandria via LeMat-Bulk: a geometry-optimized PrEr6In2 structure (GGA-PBE).

Results
The electronic total energy is -4.38 eV/atom. As for the space group: No. 12. As for the magnetization: 0.00 μB per formula unit. Its energy of formation is -194 meV/atom.

abc: 6.576 6.576 11.953
angles: 106.81 106.81 32.96
Fractional positions:
Pr 0.000 0.000 0.000
Er 0.012 0.012 0.347
Er 0.310 0.310 0.419
Er 0.313 0.313 0.126
Er 0.687 0.687 0.874
Er 0.690 0.690 0.581
Er 0.988 0.988 0.653
In 0.354 0.354 0.780
In 0.646 0.646 0.220

---

[2]
Entry from Alexandria via LeMat-Bulk: a geometry-optimized Ce2BeGe3 structure (GGA-PBE).

Results
The electronic total energy is -5.51 eV/atom. The relative energy among the computed polymorphs comes out at 0.000 eV per atom. As for the space group: No. 69. As for the magnetization: 1.53 μB per formula unit. Its energy of formation is -606 meV/atom.

abc: 8.249 8.175 5.884
angles: 69.68 68.34 41.99
Fractional positions:
Ce 0.243 0.757 0.243
Ce 0.250 0.250 0.250
Ce 0.750 0.750 0.750
Ce 0.757 0.243 0.757
Be 0.333 0.333 0.667
Be 0.667 0.667 0.333
Ge 0.177 0.177 0.823
Ge 0.179 0.645 0.821
Ge 0.355 0.821 0.645
Ge 0.645 0.179 0.355
Ge 0.821 0.355 0.179
Ge 0.823 0.823 0.177

---

[3]
Entry from Alexandria via LeMat-Bulk: a geometry-optimized Ba2ScW structure (GGA-PBE).

Results
The electronic total energy is -4.57 eV/atom. The relative energy among the computed polymorphs comes out at 0.528 eV per atom. As for the space group: No. 139. As for the magnetization: 0.97 μB per formula unit. Its energy of formation is 1216 meV/atom.

abc: 4.968 4.968 10.081
angles: 90.00 90.00 90.00
Fractional positions:
Ba 0.000 0.500 0.250
Ba 0.000 0.500 0.750
Ba 0.500 0.000 0.250
Ba 0.500 0.000 0.750
Sc 0.000 0.000 0.000
Sc 0.500 0.500 0.500
W 0.000 0.000 0.500
W 0.500 0.500 0.000

---

[4]
Entry from Alexandria via LeMat-Bulk: a geometry-optimized La2WAu structure (GGA-PBE).

Results
The electronic total energy is -6.15 eV/atom. The relative energy among the computed polymorphs comes out at 0.273 eV per atom. As for the space group: No. 216. As for the magnetization: 0.28 μB per formula unit. Its energy of formation is 367 meV/atom.

abc: 7.170 7.170 7.170
angles: 90.00 90.00 90.00
Fractional positions:
La 0.000 0.000 0.000
La 0.000 0.500 0.500
La 0.250 0.250 0.250
La 0.250 0.750 0.750
La 0.500 0.000 0.500
La 0.500 0.500 0.000
La 0.750 0.250 0.750
La 0.750 0.750 0.250
W 0.250 0.250 0.750
W 0.250 0.750 0.250
W 0.750 0.250 0.250
W 0.750 0.750 0.750
Au 0.000 0.000 0.500
Au 0.000 0.500 0.000
Au 0.500 0.000 0.000
Au 0.500 0.500 0.500

---

[5]
Entry from Alexandria via LeMat-Bulk: a geometry-optimized Cd2TeP structure (GGA-PBE).

Results
The electronic total energy is -2.33 eV/atom. The relative energy among the computed polymorphs comes out at 0.336 eV per atom. As for the space group: No. 99. As for the magnetization: 0.00 μB per formula unit. Its uncorrected formation energy is 0.269 eV/atom.

abc: 3.637 3.637 7.468
angles: 90.00 90.00 90.00
Fractional positions:
Cd 0.000 0.000 0.000
Cd 0.500 0.500 0.221
Te 0.500 0.500 0.653
P 0.000 0.000 0.521

---

[6]
Entry from Alexandria via LeMat-Bulk: a geometry-optimized Mg2NbGeN4 structure (GGA-PBE).

Results
The electronic total energy is -7.02 eV/atom. As for the space group: No. 31. As for the magnetization: 0.71 μB per formula unit. Its uncorrected formation energy is -0.625 eV/atom.

abc: 6.757 5.815 5.322
angles: 90.00 90.00 90.00
Fractional positions:
Mg 0.249 0.164 0.000
Mg 0.251 0.836 0.500
Mg 0.749 0.836 0.500
Mg 0.751 0.164 0.000
Nb 0.000 0.664 0.003
Nb 0.500 0.336 0.503
Ge 0.000 0.340 0.502
Ge 0.500 0.660 0.002
N 0.000 0.346 0.861
N 0.000 0.652 0.383
N 0.239 0.187 0.401
N 0.261 0.813 0.901
N 0.500 0.348 0.883
N 0.500 0.654 0.361
N 0.739 0.813 0.901
N 0.761 0.187 0.401

---

[7]
Entry from Alexandria via LeMat-Bulk: a geometry-optimized CaLaGa2Pd2 structure (GGA-PBE).

Results
The electronic total energy is -4.66 eV/atom. As for the space group: No. 164. As for the magnetization: 0.00 μB per formula unit. Its energy of formation is -766 meV/atom.

abc: 4.483 4.483 7.674
angles: 90.00 90.00 120.00
Fractional positions:
Ca 0.000 0.000 0.000
La 0.000 0.000 0.500
Ga 0.333 0.667 0.762
Ga 0.667 0.333 0.238
Pd 0.333 0.667 0.246
Pd 0.667 0.333 0.754

---

[8]
Entry from Alexandria via LeMat-Bulk: a geometry-optimized La2YCd structure (GGA-PBE).

Results
The electronic total energy is -4.42 eV/atom. As for the space group: No. 47. As for the magnetization: 0.00 μB per formula unit. Its energy of formation is -107 meV/atom.

abc: 3.775 4.748 7.175
angles: 90.00 90.00 90.00
Fractional positions:
La 0.000 0.000 0.234
La 0.000 0.000 0.766
Y 0.500 0.500 0.500
Cd 0.500 0.500 0.000

---

[9]
Entry from Alexandria via LeMat-Bulk: a geometry-optimized PuIn2GaBr6 structure (GGA-PBE).

Results
The electronic total energy is -4.26 eV/atom. As for the space group: No. 146. As for the magnetization: 5.00 μB per formula unit. Its uncorrected formation energy is -0.975 eV/atom.

abc: 8.315 8.315 8.315
angles: 57.80 57.80 57.80
Fractional positions:
Pu 0.000 0.000 0.000
In 0.205 0.205 0.205
In 0.698 0.698 0.698
Ga 0.494 0.494 0.494
Br 0.128 0.790 0.347
Br 0.254 0.663 0.858
Br 0.347 0.128 0.790
Br 0.663 0.858 0.254
Br 0.790 0.347 0.128
Br 0.858 0.254 0.663

---

[10]
Entry from Alexandria via LeMat-Bulk: a geometry-optimized MgC8N6 structure (GGA-PBE).

Results
The electronic total energy is -8.16 eV/atom. As for the space group: No. 53. As for the magnetization: 0.00 μB per formula unit. Its uncorrected formation energy is 0.200 eV/atom.

abc: 7.578 5.380 10.670
angles: 90.00 90.00 90.00
Fractional positions:
Mg 0.000 0.000 0.000
Mg 0.500 0.000 0.500
C 0.000 0.392 0.250
C 0.000 0.418 0.660
C 0.000 0.582 0.340
C 0.000 0.608 0.750
C 0.158 0.311 0.617
C 0.158 0.689 0.383
C 0.342 0.311 0.883
C 0.342 0.689 0.117
C 0.500 0.392 0.250
C 0.500 0.418 0.840
C 0.500 0.582 0.160
C 0.500 0.608 0.750
C 0.658 0.311 0.883
C 0.658 0.689 0.117
C 0.842 0.311 0.617
C 0.842 0.689 0.383
N 0.000 0.236 0.173
N 0.000 0.764 0.827
N 0.214 0.218 0.921
N 0.214 0.782 0.079
N 0.286 0.218 0.579
N 0.286 0.782 0.421
N 0.500 0.236 0.327
N 0.500 0.764 0.673
N 0.714 0.218 0.579
N 0.714 0.782 0.421
N 0.786 0.218 0.921
N 0.786 0.782 0.079

---

[11]
Entry from Alexandria via LeMat-Bulk: a geometry-optimized AcPm2P structure (GGA-PBE).

Results
The electronic total energy is -5.48 eV/atom. The relative energy among the computed polymorphs comes out at 0.000 eV per atom. As for the space group: No. 160. As for the magnetization: 0.00 μB per formula unit. Its energy of formation is -723 meV/atom.

abc: 4.002 4.002 29.036
angles: 90.00 90.00 120.00
Fractional positions:
Ac 0.000 0.000 0.000
Ac 0.333 0.667 0.667
Ac 0.667 0.333 0.333
Pm 0.000 0.000 0.224
Pm 0.000 0.000 0.444
Pm 0.333 0.667 0.111
Pm 0.333 0.667 0.890
Pm 0.667 0.333 0.557
Pm 0.667 0.333 0.777
P 0.000 0.000 0.834
P 0.333 0.667 0.501
P 0.667 0.333 0.168

---

[12]
Entry from Alexandria via LeMat-Bulk: a geometry-optimized Ac2YIn12Ni3 structure (GGA-PBE).

Results
The electronic total energy is -3.64 eV/atom. As for the space group: No. 166. As for the magnetization: 0.00 μB per formula unit. Its energy of formation is -34 meV/atom.

abc: 8.666 8.666 8.666
angles: 65.13 65.13 65.13
Fractional positions:
Ac 0.085 0.085 0.085
Ac 0.915 0.915 0.915
Y 0.500 0.500 0.500
In 0.052 0.657 0.657
In 0.224 0.224 0.611
In 0.224 0.611 0.224
In 0.343 0.343 0.948
In 0.343 0.948 0.343
In 0.389 0.776 0.776
In 0.611 0.224 0.224
In 0.657 0.052 0.657
In 0.657 0.657 0.052
In 0.776 0.389 0.776
In 0.776 0.776 0.389
In 0.948 0.343 0.343
Ni 0.000 0.500 0.500
Ni 0.500 0.000 0.500
Ni 0.500 0.500 0.000

---

[13]
Entry from Alexandria via LeMat-Bulk: a geometry-optimized HoV2Mo structure (GGA-PBE).

Results
The electronic total energy is -7.96 eV/atom. As for the space group: No. 166. As for the magnetization: 0.00 μB per formula unit. Its energy of formation is 449 meV/atom.

abc: 3.079 3.079 26.200
angles: 90.00 90.00 120.00
Fractional positions:
Ho 0.000 0.000 0.000
Ho 0.333 0.667 0.667
Ho 0.667 0.333 0.333
V 0.000 0.000 0.237
V 0.000 0.000 0.763
V 0.333 0.667 0.430
V 0.333 0.667 0.903
V 0.667 0.333 0.097
V 0.667 0.333 0.570
Mo 0.000 0.000 0.500
Mo 0.333 0.667 0.167
Mo 0.667 0.333 0.833

---

[14]
Entry from Alexandria via LeMat-Bulk: a geometry-optimized RbTl3PdAu structure (GGA-PBE).

Results
The electronic total energy is -2.81 eV/atom. As for the space group: No. 63. As for the magnetization: 0.00 μB per formula unit. Its energy of formation is -55 meV/atom.

abc: 7.535 7.535 7.681
angles: 90.00 90.00 115.96
Fractional positions:
Rb 0.238 0.762 0.750
Rb 0.762 0.238 0.250
Tl 0.251 0.251 0.000
Tl 0.251 0.251 0.500
Tl 0.275 0.725 0.250
Tl 0.725 0.275 0.750
Tl 0.749 0.749 0.000
Tl 0.749 0.749 0.500
Pd 0.483 0.517 0.250
Pd 0.517 0.483 0.750
Au 0.058 0.942 0.250
Au 0.942 0.058 0.750

---

[15]
Entry from Alexandria via LeMat-Bulk: a geometry-optimized Fe2PdRu structure (GGA-PBE).

Results
The electronic total energy is -7.22 eV/atom. As for the space group: No. 122. As for the magnetization: 5.89 μB per formula unit. Its energy of formation is 626 meV/atom.

abc: 6.675 6.675 5.289
angles: 90.00 90.00 90.00
Fractional positions:
Fe 0.240 0.250 0.125
Fe 0.250 0.740 0.375
Fe 0.250 0.760 0.875
Fe 0.260 0.250 0.625
Fe 0.740 0.750 0.625
Fe 0.750 0.240 0.875
Fe 0.750 0.260 0.375
Fe 0.760 0.750 0.125
Pd 0.000 0.000 0.500
Pd 0.000 0.500 0.750
Pd 0.500 0.000 0.250
Pd 0.500 0.500 0.000
Ru 0.000 0.000 0.000
Ru 0.000 0.500 0.250
Ru 0.500 0.000 0.750
Ru 0.500 0.500 0.500

---

[16]
Entry from Alexandria via LeMat-Bulk: a geometry-optimized AsSe3 structure (GGA-PBE).

Results
The electronic total energy is -3.59 eV/atom. The relative energy among the computed polymorphs comes out at 0.115 eV per atom. As for the space group: No. 25. As for the magnetization: 0.00 μB per formula unit. Its uncorrected formation energy is 0.186 eV/atom.

abc: 3.579 3.584 8.460
angles: 90.00 90.00 90.00
Fractional positions:
As 0.000 0.000 0.000
Se 0.000 0.500 0.567
Se 0.500 0.000 0.652
Se 0.500 0.500 0.106

---

[17]
Entry from Alexandria via LeMat-Bulk: a geometry-optimized Pr3Ho2Ga4 structure (GGA-PBE).

Results
The electronic total energy is -4.42 eV/atom. As for the space group: No. 12. As for the magnetization: 0.00 μB per formula unit. Its energy of formation is -463 meV/atom.

abc: 6.060 6.060 9.689
angles: 91.84 91.84 43.43
Fractional positions:
Pr 0.000 0.000 0.000
Pr 0.380 0.380 0.619
Pr 0.620 0.620 0.381
Ho 0.319 0.319 0.232
Ho 0.681 0.681 0.768
Ga 0.081 0.081 0.607
Ga 0.301 0.301 0.929
Ga 0.699 0.699 0.071
Ga 0.919 0.919 0.393

---

[18]
Entry from Alexandria via LeMat-Bulk: a geometry-optimized YFeSb2 structure (GGA-PBE).

Results
The electronic total energy is -6.00 eV/atom. As for the space group: No. 10. As for the magnetization: 1.63 μB per formula unit. Its uncorrected formation energy is -0.211 eV/atom.

abc: 3.994 4.213 5.688
angles: 90.00 100.22 90.00
Fractional positions:
Y 0.000 0.000 0.000
Fe 0.500 0.000 0.500
Sb 0.365 0.500 0.732
Sb 0.635 0.500 0.268

---

[19]
Entry from Alexandria via LeMat-Bulk: a geometry-optimized TaBe2Hg structure (GGA-PBE).

Results
The electronic total energy is -4.67 eV/atom. As for the space group: No. 47. As for the magnetization: 0.00 μB per formula unit. Its energy of formation is 234 meV/atom.

abc: 2.890 3.781 5.408
angles: 90.00 90.00 90.00
Fractional positions:
Ta 0.000 0.000 0.000
Be 0.500 0.500 0.195
Be 0.500 0.500 0.805
Hg 0.500 0.000 0.500

---

[20]
Entry from Alexandria via LeMat-Bulk: a geometry-optimized Ir2C structure (GGA-PBE).

Results
The electronic total energy is -8.19 eV/atom. The relative energy among the computed polymorphs comes out at 0.230 eV per atom. As for the space group: No. 166. As for the magnetization: 0.00 μB per formula unit. Its energy of formation is 788 meV/atom.

abc: 2.764 2.764 16.236
angles: 90.00 90.00 120.00
Fractional positions:
Ir 0.000 0.000 0.243
Ir 0.000 0.000 0.757
Ir 0.333 0.667 0.424
Ir 0.333 0.667 0.909
Ir 0.667 0.333 0.091
Ir 0.667 0.333 0.576
C 0.000 0.000 0.000
C 0.333 0.667 0.667
C 0.667 0.333 0.333